ZnCo3F | Alexandria via LeMat-Bulk | PBE with a Hubbard U | relaxed; symmetry = Pm-3m (221); E above lowest polymorph = 0.000 eV per atom
1.0
-2.5305 -2.6051 -1.9612
2.9534 -2.8833 0.0192
-1.3821 -1.3915 3.6317
Co Zn F
3 1 1
Direct
0.0000 0.5000 0.0000 Co
0.5000 0.0000 0.0000 Co
0.0000 0.0000 0.5000 Co
0.5000 0.5000 0.5000 Zn
0.0000 0.0000 0.0000 F